# SrSe2, optimized geometry, DFT GGA-PBEsol
data_SrSe2
_cell_length_a 7.334
_cell_length_b 4.022
_cell_length_c 10.330
_cell_angle_alpha 90.00
_cell_angle_beta 90.00
_cell_angle_gamma 90.00
_symmetry_space_group_name_H-M 'P n m a'
_symmetry_Int_Tables_number 62
_symmetry_space_group_name_Hall '-P 2ac 2n'
loop_
_atom_site_label
_atom_site_fract_x
_atom_site_fract_y
_atom_site_fract_z
Sr1 0.182 0.250 0.149
Se1 0.099 0.250 0.457
Se2 0.139 0.250 0.843
# Energy relative to the elements, uncorrected = -1.343 eV per atom